Entry 1:
BaAcRh (PBE, relaxed); formation energy = -293.7 meV per atom; crystal system = tetragonal; Fermi-level density of states = 2.3 states/eV/cell; polymorph energy (0 for the lowest one) = 116 meV per atom; uncorrected energy = -4.75 eV/atom
1.0
3.8299 0.0000 0.0000
0.0000 3.8299 0.0000
-1.9149 -1.9149 7.3450
Rh Ba Ac
1 1 1
Direct
0.6851 0.6851 0.3703
0.0348 0.0348 0.0696
0.2800 0.2800 0.5601



Entry 2:
Ba2AcSb3Rh4 (PBE, relaxed); crystal system = tetragonal; Fermi-level density of states = 8.2 states/eV/cell; E_form (uncorrected) = -0.701 eV/atom; uncorrected energy = -5.67 eV/atom
1.0
-1.0722 -2.7240 -3.7578
3.4956 -3.0111 1.1854
-7.1355 -5.8210 6.2555
Sb Ba Rh Ac
3 2 4 1
Direct
0.0000 0.0000 0.5000
0.0000 0.5000 0.1163
0.5000 0.0000 0.8837
0.5000 0.0000 0.2307
0.0000 0.5000 0.7693
0.5000 0.0000 0.6437
0.0000 0.5000 0.3563
0.0000 0.0000 0.0000
0.5000 0.5000 0.0000
0.5000 0.5000 0.5000



Entry 3:
Ba2AcSn3Rh4 (PBE, relaxed); formation energy = -585.6 meV per atom; crystal system = tetragonal; Fermi-level density of states = 8.7 states/eV/cell; uncorrected energy = -5.52 eV/atom
1.0
-4.7297 0.3665 0.3164
-0.4837 -3.4462 -3.2395
-0.0486 -7.7683 8.2713
Rh Ac Ba Sn
4 1 2 3
Direct
0.0000 0.5000 0.3568
0.5000 0.5000 0.0000
0.0000 0.0000 0.0000
0.5000 0.0000 0.6432
0.5000 0.5000 0.5000
0.0000 0.5000 0.7711
0.5000 0.0000 0.2289
0.5000 0.0000 0.8864
0.0000 0.5000 0.1136
0.0000 0.0000 0.5000